## TlBr2N (PBE)

Data for a geometry-optimized TlBr2N structure.

a = 9.329 Å, b = 9.329 Å, c = 9.329 Å
α = 22.41°, β = 22.41°, γ = 22.41°
Atoms (fractional coordinates):
Tl1 0.000 0.000 0.000
Br1 0.113 0.113 0.113
Br2 0.887 0.887 0.887
N1 0.500 0.500 0.500

Properties
energy relative to the elements, uncorrected = 4.77 eV per formula unit
SG = R-3m, No. 166
relative energy among the computed polymorphs = 59.8 kJ/mol of atoms